[1]
Here is a relaxed structure of Fe13Ir3 from the Alexandria database. Energies are from PBE.

Summary:
For the calculated total energy, the calculation gives -8.553 eV/atom. As for the crystal system: orthorhombic. The calculated volume is 199.3 Å³ per cell. Its total magnetic moment is 35.6 μB per formula unit. The calculation puts the density of states at the Fermi level at 12.2 states/eV per cell. The energy relative to the elements comes out at -1.5 kJ/mol of atoms.

Cell: 5.7992 5.8617 5.8617 Å, 89.72 90.00 90.00°
Last column: nearest neighbours and their distance in Å.
Fractional positions:
1 Fe 0.0000 0.0000 0.0000  6 Fe 2.51-2.54, 2 Ir 2.59
2 Fe 0.0000 0.5123 0.5123  6 Fe 2.44-2.49, 2 Ir 2.54
3 Fe 0.0000 0.5133 0.9970  6 Fe 2.46-2.53, 2 Ir 2.57
4 Fe 0.0000 0.9970 0.5133  6 Fe 2.46-2.53, 2 Ir 2.57
5 Fe 0.2458 0.7511 0.7511  7 Fe 2.44-2.51, 1 Ir 2.50
6 Fe 0.2467 0.2589 0.7526  7 Fe 2.49-2.55, 1 Ir 2.56
7 Fe 0.2467 0.7526 0.2589  7 Fe 2.49-2.55, 1 Ir 2.56
8 Fe 0.5000 0.5107 0.9994  6 Fe 2.50-2.55, 2 Ir 2.58
9 Fe 0.5000 0.5128 0.5128  6 Fe 2.47-2.52, 2 Ir 2.56
10 Fe 0.5000 0.9994 0.5107  6 Fe 2.50-2.55, 2 Ir 2.58
11 Fe 0.7533 0.2589 0.7526  7 Fe 2.49-2.55, 1 Ir 2.56
12 Fe 0.7533 0.7526 0.2589  7 Fe 2.49-2.55, 1 Ir 2.56
13 Fe 0.7542 0.7511 0.7511  7 Fe 2.44-2.51, 1 Ir 2.50
14 Ir 0.2461 0.2601 0.2601  7 Fe 2.54-2.59, 1 Ir 2.66
15 Ir 0.5000 0.9941 0.9941  6 Fe 2.50-2.56, 2 Ir 2.66
16 Ir 0.7539 0.2601 0.2601  7 Fe 2.54-2.59, 1 Ir 2.66

---

[2]
Here is a relaxed structure of FeIr4 from the Alexandria database. Energies are from PBE.

Summary:
The value obtained for the relative energy among the computed polymorphs is 879 meV per atom. For the calculated total energy, the calculation gives -7.944 eV/atom. As for the crystal system: tetragonal. The calculated volume is 88.4 Å³ per cell. Its total magnetic moment is 3.5 μB per formula unit. The calculation puts the density of states at the Fermi level at 6.5 states/eV per cell. The energy relative to the elements comes out at 80.8 kJ/mol of atoms.

Cell: 5.1732 5.1732 5.1732 Å, 125.52 125.52 80.69°
Last column: nearest neighbours and their distance in Å.
Fractional positions:
1 Fe 0.0000 0.0000 0.0000  2 Ir 2.75
2 Ir 0.2500 0.7500 0.5000  4 Ir 2.49
3 Ir 0.3481 0.3481 0.0000  5 Ir 2.40-2.49
4 Ir 0.6519 0.6519 0.0000  5 Ir 2.40-2.49
5 Ir 0.7500 0.2500 0.5000  4 Ir 2.49

---

[3]
Here is a relaxed structure of FeIr from the Alexandria database. Energies are from PBE.

Summary:
For the calculated total energy, the calculation gives -8.575 eV/atom. As for the crystal system: trigonal. The calculated volume is 50.7 Å³ per cell. Its total magnetic moment is 0.3 μB per formula unit. The calculation puts the density of states at the Fermi level at 4.3 states/eV per cell. The energy relative to the elements comes out at 8.3 kJ/mol of atoms.

Cell: 2.6621 2.6621 8.2652 Å, 90.00 90.00 120.00°
Last column: nearest neighbours and their distance in Å.
Fractional positions:
1 Fe 0.3333 0.6667 0.1111  9 Fe 2.39-2.66, 3 Ir 2.56
2 Fe 0.6667 0.3333 0.8889  9 Fe 2.39-2.66, 3 Ir 2.56
3 Ir 0.3333 0.6667 0.6412  3 Fe 2.56, 9 Ir 2.66-2.80
4 Ir 0.6667 0.3333 0.3588  3 Fe 2.56, 9 Ir 2.66-2.80

---

[4]
Here is a relaxed structure of FeIr4 from the Alexandria database. Energies are from PBE.

Summary:
The value obtained for the relative energy among the computed polymorphs is 0 meV per atom. For the calculated total energy, the calculation gives -8.822 eV/atom. As for the crystal system: tetragonal. The calculated volume is 70.5 Å³ per cell. Its total magnetic moment is 3.0 μB per formula unit. The calculation puts the density of states at the Fermi level at 5.2 states/eV per cell. The energy relative to the elements comes out at -3.9 kJ/mol of atoms.

Cell: 4.6915 4.6915 4.6915 Å, 99.69 99.69 131.55°
Last column: nearest neighbours and their distance in Å.
Fractional positions:
1 Fe 0.0000 0.0000 0.0000  12 Ir 2.69-2.71
2 Ir 0.2010 0.6033 0.8042  9 Ir 2.69-2.73, 3 Fe 2.69-2.71
3 Ir 0.3967 0.2010 0.5977  9 Ir 2.69-2.73, 3 Fe 2.69-2.71
4 Ir 0.6033 0.7990 0.4023  9 Ir 2.69-2.73, 3 Fe 2.69-2.71
5 Ir 0.7990 0.3967 0.1958  9 Ir 2.69-2.73, 3 Fe 2.69-2.71

---

Repeat the third record exactly.
Here is a relaxed structure of FeIr from the Alexandria database. Energies are from PBE.

Summary:
For the calculated total energy, the calculation gives -8.575 eV/atom. As for the crystal system: trigonal. The calculated volume is 50.7 Å³ per cell. Its total magnetic moment is 0.3 μB per formula unit. The calculation puts the density of states at the Fermi level at 4.3 states/eV per cell. The energy relative to the elements comes out at 8.3 kJ/mol of atoms.

Cell: 2.6621 2.6621 8.2652 Å, 90.00 90.00 120.00°
Last column: nearest neighbours and their distance in Å.
Fractional positions:
1 Fe 0.3333 0.6667 0.1111  9 Fe 2.39-2.66, 3 Ir 2.56
2 Fe 0.6667 0.3333 0.8889  9 Fe 2.39-2.66, 3 Ir 2.56
3 Ir 0.3333 0.6667 0.6412  3 Fe 2.56, 9 Ir 2.66-2.80
4 Ir 0.6667 0.3333 0.3588  3 Fe 2.56, 9 Ir 2.66-2.80

---

Q: energy relative to the elements of number 2 (FeIr4)?
A: 80.8 kJ/mol of atoms

---

Q: Which of these has the highest total magnetic moment?
A: Fe13Ir3

---

Q: Number 2 is which compound?
A: FeIr4